Density functional theory data (PBE with a Hubbard U) for a relaxed V3FeCu2P6O24 crystal.

Total DFT energy (no corrections) = -7.151 eV/atom

Geometry as POSCAR:
```
V3FeCu2P6O24
1.0
4.299 2.482 6.964
-4.299 2.482 6.964
0.000 -4.965 6.964
V Fe Cu P O
3 1 2 6 24
direct
0.000 0.000 0.000 V
0.215 0.215 0.215 V
0.500 0.500 0.500 V
0.715 0.715 0.715 Fe
0.357 0.357 0.357 Cu
0.857 0.857 0.857 Cu
0.109 0.817 0.399 P
0.316 0.609 0.899 P
0.399 0.109 0.817 P
0.609 0.899 0.316 P
0.817 0.399 0.109 P
0.899 0.316 0.609 P
0.050 0.854 0.237 O
0.094 0.292 0.444 O
0.121 0.775 0.914 O
0.177 0.975 0.354 O
0.237 0.050 0.854 O
0.275 0.622 0.414 O
0.292 0.444 0.094 O
0.353 0.550 0.736 O
0.354 0.177 0.975 O
0.414 0.275 0.622 O
0.444 0.094 0.292 O
0.475 0.664 0.866 O
0.550 0.736 0.353 O
0.591 0.945 0.807 O
0.622 0.414 0.275 O
0.664 0.866 0.475 O
0.736 0.353 0.550 O
0.775 0.914 0.121 O
0.807 0.591 0.945 O
0.854 0.237 0.050 O
0.866 0.475 0.664 O
0.914 0.121 0.775 O
0.945 0.807 0.591 O
0.975 0.354 0.177 O
```